Sr2CoI2O2 | the Open Quantum Materials Database | PBE+U | relaxed; crystal system = tetragonal; total DFT energy (no corrections) = -4.87 eV per atom
1.0
-2.0731 2.0731 9.2380
2.0731 -2.0731 9.2380
2.0731 2.0731 -9.2380
Sr Co I O
2 1 2 2
Direct
0.0870 0.0870 0.0000
0.9130 0.9130 0.0000
0.5000 0.5000 0.0000
0.3267 0.3267 0.0000
0.6733 0.6733 0.0000
0.0000 0.5000 0.5000
0.5000 0.0000 0.5000